Here is a relaxed Re2MoRh crystal from the Alexandria database. Energies are from PBE.

Values from the calculation:
For the volume, the calculation gives 15.02 A^3/atom. The calculation puts the magnetization at 0.00 μB/f.u. The electronic total energy comes out at -10.70 eV/atom. The calculation puts the formation energy at 0.291 eV/f.u. The energy above the lowest structure with this stoichiometry is 111 meV/atom.

a b c (Å): 2.744 2.744 7.978
angles (deg): 90.00 90.00 90.00
Atoms (fractional coordinates):
Re (0.000, 0.000, 0.245)
Re (0.000, 0.000, 0.755)
Mo (0.500, 0.500, 0.500)
Rh (0.500, 0.500, 0.000)

***

Here is a relaxed LaSc2Se crystal from the Alexandria database. Energies are from PBE.

Values from the calculation:
For the volume, the calculation gives 26.14 A^3/atom. The calculation puts the magnetization at 0.00 μB/f.u. The electronic total energy comes out at -5.84 eV/atom. The calculation puts the formation energy without anion corrections at -0.571 eV/atom.

a b c (Å): 3.474 3.474 9.421
angles (deg): 90.00 90.00 113.11
Atoms (fractional coordinates):
La (0.000, 0.000, 0.000)
Sc (0.500, 0.500, 0.305)
Sc (0.500, 0.500, 0.695)
Se (0.000, 0.000, 0.500)

***

Here is a relaxed PmSmMgAg crystal from the Alexandria database. Energies are from PBE.

Values from the calculation:
For the volume, the calculation gives 27.20 A^3/atom. The calculation puts the magnetization at 0.00 μB/f.u. The electronic total energy comes out at -3.62 eV/atom. The calculation puts the formation energy at -0.553 eV/f.u. The energy above the lowest structure with this stoichiometry is 46 meV/atom.

a b c (Å): 5.358 5.358 5.358
angles (deg): 60.00 60.00 60.00
Atoms (fractional coordinates):
Pm (0.000, 0.000, 0.000)
Sm (0.500, 0.500, 0.500)
Mg (0.750, 0.750, 0.750)
Ag (0.250, 0.250, 0.250)

***

Here is a relaxed CoRu2 crystal from the Alexandria database. Energies are from PBE.

Values from the calculation:
For the volume, the calculation gives 13.02 A^3/atom. The calculation puts the magnetization at 1.48 μB/f.u. The electronic total energy comes out at -8.30 eV/atom. The calculation puts the formation energy at 0.744 eV/f.u.

a b c (Å): 4.165 4.165 5.201
angles (deg): 90.00 90.00 120.00
Atoms (fractional coordinates):
Co (0.333, 0.667, 0.250)
Co (0.667, 0.333, 0.750)
Ru (0.000, 0.000, 0.000)
Ru (0.000, 0.000, 0.500)
Ru (0.333, 0.667, 0.750)
Ru (0.667, 0.333, 0.250)

***

Here is a relaxed Ac12SmPb7 crystal from the Alexandria database. Energies are from PBE.

Values from the calculation:
For the volume, the calculation gives 40.05 A^3/atom. The calculation puts the magnetization at 0.00 μB/f.u. The electronic total energy comes out at -4.26 eV/atom. The calculation puts the formation energy at -5.157 eV/f.u.

a b c (Å): 10.310 10.310 10.310
angles (deg): 110.75 110.75 110.75
Atoms (fractional coordinates):
Ac (0.000, 0.271, 0.729)
Ac (0.000, 0.729, 0.271)
Ac (0.167, 0.491, 0.491)
Ac (0.271, 0.000, 0.729)
Ac (0.271, 0.729, 0.000)
Ac (0.491, 0.167, 0.491)
Ac (0.491, 0.491, 0.167)
Ac (0.509, 0.509, 0.833)
Ac (0.509, 0.833, 0.509)
Ac (0.729, 0.000, 0.271)
Ac (0.729, 0.271, 0.000)
Ac (0.833, 0.509, 0.509)
Sm (0.000, 0.000, 0.000)
Pb (0.133, 0.133, 0.438)
Pb (0.133, 0.438, 0.133)
Pb (0.438, 0.133, 0.133)
Pb (0.500, 0.500, 0.500)
Pb (0.562, 0.867, 0.867)
Pb (0.867, 0.562, 0.867)
Pb (0.867, 0.867, 0.562)

***

Here is a relaxed LuPaAs crystal from the Alexandria database. Energies are from PBE.

Values from the calculation:
For the volume, the calculation gives 24.25 A^3/atom. The calculation puts the magnetization at 0.00 μB/f.u. The electronic total energy comes out at -6.68 eV/atom. The calculation puts the formation energy at -1.379 eV/f.u. The energy above the lowest structure with this stoichiometry is 0 meV/atom.

a b c (Å): 6.243 6.243 6.243
angles (deg): 146.78 146.78 47.69
Atoms (fractional coordinates):
Lu (0.000, 0.000, 0.000)
Pa (0.715, 0.715, 0.000)
As (0.359, 0.359, 0.000)

***

Here is a relaxed TmHg2Au crystal from the Alexandria database. Energies are from PBE.

Values from the calculation:
For the volume, the calculation gives 25.33 A^3/atom. The calculation puts the magnetization at 0.00 μB/f.u. The electronic total energy comes out at -1.93 eV/atom. The calculation puts the formation energy at 0.615 eV/f.u.

a b c (Å): 10.773 10.773 10.773
angles (deg): 17.74 17.74 17.74
Atoms (fractional coordinates):
Tm (0.000, 0.000, 0.000)
Hg (0.094, 0.094, 0.094)
Hg (0.906, 0.906, 0.906)
Au (0.500, 0.500, 0.500)

***

Here is a relaxed InTeP crystal from the Alexandria database. Energies are from PBE.

Values from the calculation:
For the volume, the calculation gives 27.38 A^3/atom. The calculation puts the magnetization at 0.00 μB/f.u. The electronic total energy comes out at -3.50 eV/atom. The calculation puts the formation energy without anion corrections at 0.264 eV/atom. The energy above the lowest structure with this stoichiometry is 241 meV/atom.

a b c (Å): 6.486 6.425 3.738
angles (deg): 74.07 72.28 33.65
Atoms (fractional coordinates):
In (0.000, 0.000, 0.000)
Te (0.727, 0.727, 0.273)
P (0.301, 0.301, 0.699)

***

Here is a relaxed ZnCdP2 crystal from the Alexandria database. Energies are from PBE.

Values from the calculation:
For the volume, the calculation gives 18.22 A^3/atom. The calculation puts the magnetization at 0.00 μB/f.u. The electronic total energy comes out at -2.87 eV/atom. The calculation puts the formation energy at 1.538 eV/f.u. The energy above the lowest structure with this stoichiometry is 324 meV/atom.

a b c (Å): 4.970 4.970 4.970
angles (deg): 135.96 118.36 78.82
Atoms (fractional coordinates):
Zn (0.000, 0.000, 0.000)
Cd (0.500, 0.500, 0.000)
P (0.210, 0.710, 0.500)
P (0.790, 0.290, 0.500)

***

Here is a relaxed LaHoZnPb crystal from the Alexandria database. Energies are from PBE.

Values from the calculation:
For the volume, the calculation gives 27.42 A^3/atom. The calculation puts the magnetization at 0.00 μB/f.u. The electronic total energy comes out at -4.02 eV/atom. The calculation puts the formation energy at -1.584 eV/f.u.

a b c (Å): 5.373 5.373 5.373
angles (deg): 60.00 60.00 60.00
Atoms (fractional coordinates):
La (0.000, 0.000, 0.000)
Ho (0.500, 0.500, 0.500)
Zn (0.750, 0.750, 0.750)
Pb (0.250, 0.250, 0.250)

***

Here is a relaxed ErUOs4 crystal from the Alexandria database. Energies are from PBE.

Values from the calculation:
For the volume, the calculation gives 17.89 A^3/atom. The calculation puts the magnetization at 1.55 μB/f.u. The electronic total energy comes out at -10.31 eV/atom. The calculation puts the formation energy at -1.061 eV/f.u.

a b c (Å): 5.335 5.335 5.335
angles (deg): 60.00 60.00 60.00
Atoms (fractional coordinates):
Er (0.000, 0.000, 0.000)
U (0.750, 0.750, 0.750)
Os (0.375, 0.375, 0.375)
Os (0.375, 0.375, 0.876)
Os (0.375, 0.876, 0.375)
Os (0.876, 0.375, 0.375)

***

Here is a relaxed MnCr8Re2 crystal from the Alexandria database. Energies are from PBE.

Values from the calculation:
For the volume, the calculation gives 12.96 A^3/atom. The calculation puts the magnetization at 1.36 μB/f.u. The electronic total energy comes out at -9.80 eV/atom. The calculation puts the formation energy at 3.214 eV/f.u.

a b c (Å): 2.879 6.337 8.020
angles (deg): 88.96 87.95 77.09
Atoms (fractional coordinates):
Mn (0.000, 0.000, 0.000)
Cr (0.115, 0.335, 0.124)
Cr (0.246, 0.007, 0.364)
Cr (0.406, 0.680, 0.635)
Cr (0.457, 0.664, 0.116)
Cr (0.543, 0.336, 0.884)
Cr (0.594, 0.320, 0.365)
Cr (0.754, 0.993, 0.636)
Cr (0.885, 0.665, 0.876)
Re (0.081, 0.327, 0.628)
Re (0.919, 0.673, 0.372)

***

Here is a relaxed Mn2SiW crystal from the Alexandria database. Energies are from PBE.

Values from the calculation:
For the volume, the calculation gives 12.93 A^3/atom. The calculation puts the magnetization at 2.98 μB/f.u. The electronic total energy comes out at -9.14 eV/atom. The calculation puts the formation energy without anion corrections at 0.034 eV/atom.

a b c (Å): 4.873 4.873 2.648
angles (deg): 102.02 102.02 116.44
Atoms (fractional coordinates):
Mn (0.000, 0.500, 0.000)
Mn (0.500, 0.000, 0.000)
Si (0.000, 0.000, 0.500)
W (0.500, 0.500, 0.500)